# 1
A plane-wave DFT calculation with PBE was carried out for a relaxed structure of KTcNi.

Calculated values
DFT formation energy, eV/f.u.: 1.6
E, eV per atom: -5.20

```
data_KTcNi
_chemical_formula_sum 'K2 Tc2 Ni2'
_cell_length_a 2.7432
_cell_length_b 3.9400
_cell_length_c 12.5632
_cell_angle_alpha 90.00
_cell_angle_beta 91.28
_cell_angle_gamma 90.00
_symmetry_space_group_name_H-M 'P 1'
_symmetry_Int_Tables_number 1
loop_
_symmetry_equiv_pos_as_xyz
'x,y,z'
loop_
_atom_site_label
_atom_site_type_symbol
_atom_site_fract_x
_atom_site_fract_y
_atom_site_fract_z
_atom_site_occupancy
K1 K 0.0000 0.0000 0.0000 1
K2 K 0.0605 0.5000 0.6611 1
Tc1 Tc 0.0143 0.5000 0.2103 1
Tc2 Tc 0.0334 0.5000 0.3977 1
Ni1 Ni 0.5206 0.0000 0.2704 1
Ni2 Ni 0.5411 0.0000 0.4702 1
```

# 2
A plane-wave DFT calculation with PBE was carried out for a relaxed structure of PWAu2.

Calculated values
DFT formation energy, eV/f.u.: 2.9
E, eV per atom: -5.50

```
data_PWAu2
_chemical_formula_sum 'P1 W1 Au2'
_cell_length_a 5.0760
_cell_length_b 5.0760
_cell_length_c 2.7046
_cell_angle_alpha 90.00
_cell_angle_beta 90.00
_cell_angle_gamma 90.00
_symmetry_space_group_name_H-M 'P 1'
_symmetry_Int_Tables_number 1
loop_
_symmetry_equiv_pos_as_xyz
'x,y,z'
loop_
_atom_site_label
_atom_site_type_symbol
_atom_site_fract_x
_atom_site_fract_y
_atom_site_fract_z
_atom_site_occupancy
P1 P 0.0000 0.0000 0.0000 1
W1 W 0.5000 0.5000 0.0000 1
Au1 Au 0.0000 0.5000 0.5000 1
Au2 Au 0.5000 0.0000 0.5000 1
```